A plane-wave DFT calculation with GGA+U was carried out for SrCoSeO after structural relaxation.

Calculated total energy in eV/atom: -5.264

a b c (Å): 7.095 6.993 6.833
angles (deg): 90.00 90.00 90.00
Space group Pca2_1 (No. 29)
One atom of each set of equivalent atoms:
Sr: 0.109 0.141 0.000 x4
Co: 0.050 0.650 0.102 x4
Se: 0.141 0.599 0.761 x4
O: 0.076 0.115 0.641 x4